[1]
The following is a DFT calculation (PBE-GGA) of a geometry-optimized Tl2Cd12Hg structure.

Calculated values
Energy relative to the elements = 0.047 eV/atom
Uncorrected energy = -1.020 eV per atom
Theoretical density = 8.42 g cm⁻³
SG = No. 125
Magnetization = 0.000 μB per atom
N(E_F) = 0.39 states/eV/atom

Cell lengths 6.043, 6.043, 21.159 Å; angles 90.00, 90.00, 90.00 degrees
Fractional coordinates of all 30 atoms:
Cd  0.324  0.176  0.564
Cd  0.324  0.824  0.436
Cd  0.676  0.176  0.436
Cd  0.752  0.748  0.899
Cd  0.500  0.500  0.662
Cd  0.500  0.500  0.338
Cd  0.252  0.752  0.899
Cd  0.252  0.248  0.101
Cd  0.000  0.000  0.798
Cd  0.176  0.676  0.564
Cd  0.824  0.324  0.564
Cd  0.500  0.500  0.798
Cd  0.676  0.824  0.564
Cd  0.752  0.252  0.101
Cd  0.748  0.752  0.101
Cd  0.000  0.000  0.338
Cd  0.248  0.748  0.101
Cd  0.000  0.000  0.202
Cd  0.000  0.000  0.662
Cd  0.176  0.324  0.436
Cd  0.748  0.248  0.899
Cd  0.500  0.500  0.202
Cd  0.248  0.252  0.899
Cd  0.824  0.676  0.436
Hg  0.500  0.000  0.000
Hg  0.000  0.500  0.000
Tl  0.000  0.500  0.733
Tl  0.000  0.500  0.267
Tl  0.500  0.000  0.267
Tl  0.500  0.000  0.733


[2]
The following is a DFT calculation (PBE-GGA) of a geometry-optimized Tl2Cd3Hg9 structure.

Calculated values
Energy relative to the elements = 0.011 eV/atom
Uncorrected energy = -0.717 eV per atom
Theoretical density = 11.24 g cm⁻³
SG = No. 15
Magnetization = 0.000 μB per atom
N(E_F) = 0.42 states/eV/atom

Cell lengths 8.701, 8.701, 12.544 Å; angles 89.83, 110.61, 119.78 degrees
Fractional coordinates of all 28 atoms:
Hg  0.886  0.136  0.750
Hg  0.224  0.681  0.088
Hg  0.332  0.299  0.249
Hg  0.877  0.031  0.081
Hg  0.212  0.514  0.585
Hg  0.788  0.486  0.415
Hg  0.114  0.864  0.250
Hg  0.123  0.969  0.919
Hg  0.907  0.864  0.588
Hg  0.429  0.627  0.915
Hg  0.093  0.136  0.412
Hg  0.451  0.797  0.419
Hg  0.668  0.701  0.751
Hg  0.571  0.373  0.085
Hg  0.776  0.319  0.912
Hg  0.549  0.203  0.581
Hg  0.549  0.083  0.251
Hg  0.451  0.917  0.749
Tl  0.332  0.252  0.753
Tl  0.999  0.579  0.747
Tl  0.668  0.748  0.247
Tl  0.001  0.421  0.253
Cd  0.165  0.328  0.000
Cd  0.500  0.000  0.000
Cd  0.172  0.835  0.500
Cd  0.835  0.672  0.000
Cd  0.500  0.500  0.500
Cd  0.828  0.165  0.500


[3]
The following is a DFT calculation (PBE-GGA) of a geometry-optimized Tl5Cd3Hg3 structure.

Calculated values
Energy relative to the elements = 0.081 eV/atom
Uncorrected energy = -1.327 eV per atom
Theoretical density = 10.01 g cm⁻³
SG = No. 189
Magnetization = 0.000 μB per atom
E above lowest polymorph = 21.8 kJ/mol of formula units
N(E_F) = 0.46 states/eV/atom

Cell lengths 3.409, 10.498, 10.498 Å; angles 120.00, 90.00, 90.00 degrees
Fractional coordinates of all 11 atoms:
Tl  0.500  0.000  0.685
Tl  0.500  0.667  0.333
Tl  0.500  0.685  0.000
Tl  0.500  0.315  0.315
Tl  0.500  0.333  0.667
Hg  0.000  0.000  0.168
Hg  0.000  0.168  0.000
Hg  0.000  0.832  0.832
Cd  0.500  0.398  0.000
Cd  0.500  0.602  0.602
Cd  0.500  0.000  0.398


[4]
The following is a DFT calculation (PBE-GGA) of a geometry-optimized TlCd7Hg4 structure.

Calculated values
Energy relative to the elements = 0.052 eV/atom
Uncorrected energy = -0.780 eV per atom
Theoretical density = 9.47 g cm⁻³
SG = No. 12
Magnetization = 0.000 μB per atom
E above lowest polymorph = 12.3 kJ/mol of formula units
N(E_F) = 0.31 states/eV/atom

Cell lengths 5.775, 9.368, 6.765 Å; angles 85.04, 64.73, 72.05 degrees
Fractional coordinates of all 12 atoms:
Hg  0.266  0.325  0.144
Hg  0.579  0.231  0.611
Hg  0.421  0.769  0.389
Hg  0.734  0.675  0.856
Cd  0.655  0.438  0.252
Cd  0.214  0.091  0.480
Cd  0.064  0.649  0.223
Cd  0.936  0.351  0.777
Cd  0.345  0.562  0.748
Cd  0.786  0.909  0.520
Cd  0.500  0.000  0.000
Tl  0.000  0.000  0.000